Pr8Al2Hg: relaxed, GGA-PBE.

a b c (Å): 5.177 7.711 9.571
angles (deg): 109.33 105.69 90.00
Fractional positions:
Pr (0.406, 0.538, 0.812)
Pr (0.666, 0.944, 0.331)
Pr (0.801, 0.707, 0.603)
Pr (0.980, 0.243, 0.961)
Pr (0.199, 0.293, 0.397)
Pr (0.334, 0.056, 0.669)
Pr (0.594, 0.462, 0.188)
Pr (0.020, 0.757, 0.039)
Al (0.815, 0.306, 0.630)
Al (0.185, 0.694, 0.370)
Hg (0.500, 0.000, 0.000)

Calculated values
Magnetic moment = 0.00 μB/f.u.
Calculated volume = 345.4 Å³/cell
Formation energy = -0.181 eV/atom
Relative energy among the computed polymorphs = 0.000 eV/atom